[1]
# MnZn2Ni

A relaxed MnZn2Ni crystal (PBE, the Alexandria database).

Results
V, Å³/cell: 154
Total magnetization, μB per formula unit: 2.66
Calculated formation energy, eV/atom: 0.025

The structure in CIF format:
```
data_MnZn2Ni
_chemical_formula_sum 'Mn3 Zn6 Ni3'
_space_group_name_H-M_alt 'R 3 m'
_space_group_IT_number 160
_space_group_name_Hall 'R 3 -2"'
_cell_length_a 2.6540
_cell_length_b 2.6540
_cell_length_c 25.2473
_cell_angle_alpha 90.00
_cell_angle_beta 90.00
_cell_angle_gamma 120.00
loop_
_atom_site_label
_atom_site_fract_x
_atom_site_fract_y
_atom_site_fract_z
Mn1 0.0000 0.0000 0.0000
Zn1 0.0000 0.0000 0.2466
Zn2 0.0000 0.0000 0.4200
Ni1 0.0000 0.0000 0.8332
```

---

[2]
# MnZnNi3

A relaxed MnZnNi3 crystal (PBE, the Alexandria database).

Results
V, Å³/cell: 80
Energy above the lowest structure with this stoichiometry, eV/atom: 1.066
Total magnetization, μB per formula unit: 4.53
Calculated formation energy, eV/atom: 0.990

The structure in CIF format:
```
data_MnZnNi3
_chemical_formula_sum 'Mn1 Zn1 Ni3'
_space_group_name_H-M_alt 'P m -3 m'
_space_group_IT_number 221
_space_group_name_Hall '-P 4 2 3'
_cell_length_a 4.302
_cell_length_b 4.302
_cell_length_c 4.302
_cell_angle_alpha 90.00
_cell_angle_beta 90.00
_cell_angle_gamma 90.00
loop_
_atom_site_label
_atom_site_fract_x
_atom_site_fract_y
_atom_site_fract_z
Mn1 0.000 0.000 0.000
Zn1 0.500 0.500 0.500
Ni1 0.000 0.000 0.500
```

---

[3]
# Mn2ZnNi2

A relaxed Mn2ZnNi2 crystal (PBE, the Alexandria database).

Results
V, Å³/cell: 131
Total magnetization, μB per formula unit: 7.82
Calculated formation energy, eV/atom: 0.040

The structure in CIF format:
```
data_Mn2ZnNi2
_chemical_formula_sum 'Mn4 Zn2 Ni4'
_space_group_name_H-M_alt 'P 4/m b m'
_space_group_IT_number 127
_space_group_name_Hall '-P 4 2ab'
_cell_length_a 6.853
_cell_length_b 6.853
_cell_length_c 2.795
_cell_angle_alpha 90.00
_cell_angle_beta 90.00
_cell_angle_gamma 90.00
loop_
_atom_site_label
_atom_site_fract_x
_atom_site_fract_y
_atom_site_fract_z
Mn1 0.161 0.339 0.000
Zn1 0.000 0.000 0.500
Ni1 0.135 0.635 0.500
```

---

[4]
# MnZnNi2

A relaxed MnZnNi2 crystal (PBE, the Alexandria database).

Results
V, Å³/cell: 97
Total magnetization, μB per formula unit: 4.20
Calculated formation energy, eV/atom: -0.126

The structure in CIF format:
```
data_MnZnNi2
_chemical_formula_sum 'Mn2 Zn2 Ni4'
_space_group_name_H-M_alt 'I -4 m 2'
_space_group_IT_number 119
_space_group_name_Hall 'I -4 -2'
_cell_length_a 3.578
_cell_length_b 3.578
_cell_length_c 7.575
_cell_angle_alpha 90.00
_cell_angle_beta 90.00
_cell_angle_gamma 90.00
loop_
_atom_site_label
_atom_site_fract_x
_atom_site_fract_y
_atom_site_fract_z
Mn1 0.000 0.000 0.000
Zn1 0.000 0.500 0.750
Ni1 0.000 0.000 0.500
Ni2 0.000 0.500 0.250
```

---

[5]
# MnZnNi2

A relaxed MnZnNi2 crystal (PBE, the Alexandria database).

Results
V, Å³/cell: 49
Total magnetization, μB per formula unit: 4.64
Calculated formation energy, eV/atom: -0.150

The structure in CIF format:
```
data_MnZnNi2
_chemical_formula_sum 'Mn1 Zn1 Ni2'
_space_group_name_H-M_alt 'P 4/m m m'
_space_group_IT_number 123
_space_group_name_Hall '-P 4 2'
_cell_length_a 3.825
_cell_length_b 3.825
_cell_length_c 3.340
_cell_angle_alpha 90.00
_cell_angle_beta 90.00
_cell_angle_gamma 90.00
loop_
_atom_site_label
_atom_site_fract_x
_atom_site_fract_y
_atom_site_fract_z
Mn1 0.000 0.000 0.000
Zn1 0.500 0.500 0.000
Ni1 0.000 0.500 0.500
```

---

[6]
# Mn2Zn3Ni4

A relaxed Mn2Zn3Ni4 crystal (PBE, the Alexandria database).

Results
V, Å³/cell: 111
Total magnetization, μB per formula unit: 8.00
Calculated formation energy, eV/atom: -0.147

The structure in CIF format:
```
data_Mn2Zn3Ni4
_chemical_formula_sum 'Mn2 Zn3 Ni4'
_space_group_name_H-M_alt 'P -1'
_space_group_IT_number 2
_cell_length_a 3.794
_cell_length_b 4.314
_cell_length_c 7.696
_cell_angle_alpha 79.09
_cell_angle_beta 89.94
_cell_angle_gamma 63.94
loop_
_space_group_symop_operation_xyz
'x,y,z'
'-x,-y,-z'
loop_
_atom_site_label
_atom_site_fract_x
_atom_site_fract_y
_atom_site_fract_z
Mn1 0.169 0.163 0.218
Zn1 0.163 0.174 0.562
Zn2 0.500 0.500 0.000
Ni1 0.166 0.168 0.889
Ni2 0.496 0.509 0.669
```

---

Question: What is the total magnetization in the sixth record?
Answer: 8.00 μB per formula unit